--- P ---
The following is a DFT calculation (GGA-PBE) of crystalline HgSb2H at its relaxed geometry.

Values from the calculation:
- crystal system = cubic

Cell and atoms, written as POSCAR:
```
HgSb2H
1.0
3.056 -3.690 1.282
-1.563 -4.702 -0.213
1.793 -3.054 -3.472
Sb Hg H
2 1 1
Cartesian
0.822 -2.861 -0.601
2.465 -8.584 -1.802
1.643 -5.723 -1.201
0.000 0.000 0.000
```

=====

--- Q ---
The following is a DFT calculation (GGA-PBE) of crystalline HgSb2H at its relaxed geometry.

Values from the calculation:
- crystal system = trigonal

Cell and atoms, written as POSCAR:
```
HgSb2H
1.0
-1.722 -3.523 2.245
1.211 -0.758 4.287
-5.224 2.381 4.277
Sb Hg H
2 1 1
Cartesian
-3.718 1.246 3.651
-2.018 -3.146 7.158
-2.868 -0.950 5.405
0.000 0.000 0.000
```

=====

--- R ---
The following is a DFT calculation (GGA-PBE) of crystalline HgSb2H at its relaxed geometry.

Values from the calculation:
- crystal system = triclinic

Cell and atoms, written as POSCAR:
```
HgSb2H
1.0
12.194 -3.688 -4.778
-2.870 5.941 -0.224
-3.866 0.130 5.499
Hg Sb H
2 4 2
Cartesian
6.948 -0.408 -0.963
-1.490 2.791 1.461
2.946 1.020 -1.177
2.512 1.364 1.675
4.118 -1.950 1.799
1.339 4.334 -1.302
0.985 0.526 1.526
4.473 1.858 -1.029
```

=====

Tell me which of them is the most stable. Sure, it is R.

=====

--- P ---
The following is a DFT calculation (GGA-PBE) of crystalline Hg2SbH2 at its relaxed geometry.

Values from the calculation:
- crystal system = tetragonal

Cell and atoms, written as POSCAR:
```
Hg2SbH2
1.0
-0.619 1.744 2.850
2.316 -1.865 1.645
6.114 4.841 0.393
Sb Hg H
1 2 2
Cartesian
0.000 0.000 0.000
2.488 1.465 1.670
5.323 3.254 3.217
3.171 3.262 2.745
4.639 1.458 2.142
```

=====

--- Q ---
The following is a DFT calculation (GGA-PBE) of crystalline Hg2SbH2 at its relaxed geometry.

Values from the calculation:
- crystal system = triclinic

Cell and atoms, written as POSCAR:
```
Hg2SbH2
1.0
7.437 -2.268 3.844
2.058 5.162 0.500
2.781 -2.230 7.216
Hg Sb H
4 2 4
Cartesian
5.596 -0.177 4.074
8.238 1.801 4.794
6.681 0.840 7.486
4.039 -1.137 6.765
8.356 -2.016 7.702
3.920 2.679 3.857
8.296 -1.755 5.969
3.980 2.419 5.590
6.716 -2.621 7.698
5.561 3.285 3.861
```

=====

Tell me which of them is the most stable. Sure, it is Q.

=====

--- P ---
The following is a DFT calculation (GGA-PBE) of crystalline TlHg2SbH at its relaxed geometry.

Values from the calculation:
- crystal system = tetragonal

Cell and atoms, written as POSCAR:
```
TlHg2SbH
1.0
5.782 0.000 0.000
0.000 3.783 0.000
0.000 0.000 5.782
Sb Tl Hg H
1 1 2 1
Cartesian
2.891 1.892 2.891
0.000 0.000 0.000
0.000 0.000 2.891
2.891 0.000 0.000
0.000 1.892 0.000
```

=====

--- Q ---
The following is a DFT calculation (GGA-PBE) of crystalline TlHg2SbH at its relaxed geometry.

Values from the calculation:
- crystal system = tetragonal

Cell and atoms, written as POSCAR:
```
TlHg2SbH
1.0
5.869 0.000 0.000
0.000 5.869 0.000
0.000 0.000 3.794
Sb Tl Hg H
1 1 2 1
Cartesian
0.000 0.000 0.000
2.935 2.935 1.897
0.000 2.935 0.000
2.935 0.000 0.000
0.000 0.000 1.897
```

=====

Tell me which of them is the most stable. Sure, it is Q.